Computed, not measured: crystalline TlCrSb at its relaxed geometry at the GGA-PBEsol level of DFT.

```
TlCrSb
1.0
4.6830 0.0000 0.0000
2.3415 4.0556 0.0000
2.3415 1.3519 3.8236
Cr Tl Sb
1 1 1
Direct
0.2500 0.2500 0.2500
0.5000 0.5000 0.5000
0.0000 0.0000 0.0000
```

Properties
Uncorrected formation energy, eV/atom: 0.34
VASP energy, eV/atom: -5.4673
Theoretical density, g cm⁻³: 8.647